# 1
KReCl5 | GGA-PBE | relaxed

a b c (Å): 14.119 7.477 9.273
angles (deg): 90.00 109.99 90.00
Space group C2/c (No. 15)
Inequivalent atoms, fractional coordinates:
K 0.000 0.025 0.250
Re 0.000 0.500 0.000
Cl 0.000 0.397 0.750
Cl 0.124 0.282 0.523
Cl 0.126 0.284 0.107

## Properties
Energy (eV per atom): -4.209
Size of the total moment (μB per formula unit): 3.0
Uncorrected formation energy (meV/atom): -955

***

# 2
Ac2LaDySe4 | GGA-PBE | relaxed

a b c (Å): 7.436 4.254 7.667
angles (deg): 90.00 108.54 90.00
Space group P2/m (No. 10)
Inequivalent atoms, fractional coordinates:
Ac 0.000 0.000 0.000
Ac 0.500 0.500 0.000
La 0.000 0.500 0.500
Dy 0.500 0.000 0.500
Se 0.253 0.000 0.732
Se 0.267 0.500 0.274

## Properties
Energy (eV per atom): -5.816
Size of the total moment (μB per formula unit): 0.0
Uncorrected formation energy (meV/atom): -1855

***

# 3
Mg16Al12Cl | GGA-PBE | relaxed

a b c (Å): 10.564 14.746 9.196
angles (deg): 90.00 124.34 90.00
Space group Cm (No. 8)
Inequivalent atoms, fractional coordinates:
Mg 0.000 0.000 0.000
Mg 0.005 0.000 0.332
Mg 0.068 0.343 0.401
Mg 0.152 0.500 0.660
Mg 0.166 0.157 0.594
Mg 0.185 0.174 0.004
Mg 0.200 0.500 0.298
Mg 0.314 0.300 0.320
Mg 0.478 0.141 0.009
Mg 0.498 0.197 0.685
Al 0.014 0.184 0.183
Al 0.176 0.000 0.846
Al 0.244 0.407 0.006
Al 0.282 0.093 0.365
Al 0.331 0.311 0.815
Al 0.381 0.000 0.192
Al 0.417 0.406 0.634
Cl 0.364 0.000 0.775

## Properties
Energy (eV per atom): -2.531
Size of the total moment (μB per formula unit): 0.0
Uncorrected formation energy (meV/atom): -39
Offset from the most stable computed form (meV per atom): 0.0

***

# 4
HgBiSeF2 | GGA-PBE | relaxed

a b c (Å): 4.527 4.527 5.869
angles (deg): 90.00 90.00 90.00
Space group P4/mmm (No. 123)
Inequivalent atoms, fractional coordinates:
Hg 0.000 0.000 0.000
Bi 0.500 0.500 0.500
Se 0.500 0.500 0.000
F 0.000 0.500 0.500

## Properties
Energy (eV per atom): -3.543
Size of the total moment (μB per formula unit): 0.0
Uncorrected formation energy (meV/atom): -1261

***

# 5
Sr3Ga4Ge2Ir2 | GGA-PBE | relaxed

a b c (Å): 4.2818 4.2818 16.8554
angles (deg): 90.00 90.00 120.00
Space group P-3m1 (No. 164)
Inequivalent atoms, fractional coordinates:
Sr 0.0000 0.0000 0.0000
Sr 0.0000 0.0000 0.2955
Ga 0.3333 0.6667 0.4327
Ga 0.3333 0.6667 0.8712
Ge 0.3333 0.6667 0.1515
Ir 0.3333 0.6667 0.5830

## Properties
Energy (eV per atom): -4.410
Energy relative to the elements (meV per atom): -400
Size of the total moment (μB per formula unit): 0.0

***

# 6
CoBPt3 | GGA-PBE | relaxed

a b c (Å): 4.162 4.162 4.162
angles (deg): 90.00 90.00 90.00
Space group Pm-3m (No. 221)
Inequivalent atoms, fractional coordinates:
Co 0.000 0.000 0.000
B 0.500 0.500 0.500
Pt 0.000 0.500 0.500

## Properties
Energy (eV per atom): -6.240
Energy relative to the elements (meV per atom): 141
Size of the total moment (μB per formula unit): 2.2
Offset from the most stable computed form (meV per atom): 0.0

***

# 7
TiSn3Br | GGA-PBE | relaxed

a b c (Å): 5.435 5.435 5.435
angles (deg): 90.00 90.00 90.00
Space group Pm-3m (No. 221)
Inequivalent atoms, fractional coordinates:
Ti 0.000 0.000 0.000
Sn 0.000 0.500 0.500
Br 0.500 0.500 0.500

## Properties
Energy (eV per atom): -3.342
Size of the total moment (μB per formula unit): 0.0
Uncorrected formation energy (meV/atom): 974
Offset from the most stable computed form (meV per atom): 857.3

***

# 8
VCd2Sn2 | GGA-PBE | relaxed

a b c (Å): 7.373 7.373 4.404
angles (deg): 90.00 90.00 90.00
Space group P4/mbm (No. 127)
Inequivalent atoms, fractional coordinates:
V 0.000 0.000 0.000
Cd 0.162 0.338 0.500
Sn 0.147 0.647 0.000

## Properties
Energy (eV per atom): -3.467
Energy relative to the elements (meV per atom): 324
Size of the total moment (μB per formula unit): 2.7

***

# 9
BaLi2H2S | GGA-PBE | relaxed

a b c (Å): 6.414 4.888 7.052
angles (deg): 90.00 110.50 90.00
Space group P2_1/m (No. 11)
Inequivalent atoms, fractional coordinates:
Ba 0.170 0.250 0.307
Li 0.361 0.003 0.805
H 0.137 0.250 0.676
H 0.368 0.750 0.610
S 0.294 0.750 0.069

## Properties
Energy (eV per atom): -3.664
Size of the total moment (μB per formula unit): 0.0